PBE PrHgCl6, optimized geometry; total magnetic moment = 0.926 μB per cell; raw formation energy = -1.176 eV/atom
1.0
6.5962 0.0000 0.0000
-2.8627 5.9454 0.0000
-3.0987 -1.5363 6.1236
Pr Hg Cl
1 1 6
Direct
0.0000 0.0000 0.0000
0.0000 0.5000 0.5000
0.1655 0.4260 0.2590
0.1871 0.2666 0.7495
0.4953 0.0717 0.2482
0.5047 0.9283 0.7518
0.8129 0.7334 0.2505
0.8345 0.5740 0.7410